# PBE with a Hubbard U NaCrPtO4, relaxed
data_NaCrPtO4
_cell_length_a 6.139
_cell_length_b 6.396
_cell_length_c 8.827
_cell_angle_alpha 90.00
_cell_angle_beta 90.00
_cell_angle_gamma 90.00
_space_group_name_H-M_alt 'I m m a'
_space_group_IT_number 74
_space_group_name_Hall '-I 2b 2'
loop_
_atom_site_label
_atom_site_type_symbol
_atom_site_fract_x
_atom_site_fract_y
_atom_site_fract_z
_atom_site_occupancy
Na1 Na 0.000 0.250 0.137 1
Cr1 Cr 0.250 0.250 0.750 1
Pt1 Pt 0.000 0.000 0.500 1
O1 O 0.000 0.043 0.732 1
O2 O 0.212 0.250 0.518 1
# Magnetization: 11.9 Bohr magnetons per cell
# E: -6.309 eV/atom